# AlH3Br

Crystalline AlH3Br at its relaxed geometry (PBE, the Alexandria database).

Computed properties:
Space group: No. 221
Total magnetization: 0.00 μB/f.u.
DOS(E_F): 3.95 states/eV/cell
Energy above the lowest structure with this stoichiometry: 347 meV per atom

Cell and atoms, written as extended XYZ:
```
5
Lattice="3.739 0.000 0.000 0.000 3.739 0.000 0.000 0.000 3.739" Properties=species:S:1:pos:R:3 pbc="T T T"
H 0.000 0.000 1.869
Br 1.869 1.869 1.869
H 1.869 0.000 0.000
Al 0.000 0.000 0.000
H 0.000 1.869 0.000
```



# Nd2Pu3Ge4

Crystalline Nd2Pu3Ge4 at its relaxed geometry (PBE, the Alexandria database).

Computed properties:
Space group: No. 14
Total magnetization: 6.00 μB/f.u.
ΔE_f: -481 kJ/mol of formula units
DOS(E_F): 58.43 states/eV/cell

Cell and atoms, written as extended XYZ:
```
18
Lattice="7.573 0.006 0.000 -2.482 7.475 0.000 0.000 0.000 7.902" Properties=species:S:1:pos:R:3 pbc="T T T"
Pu -1.241 3.737 3.951
Nd 1.252 6.060 5.361
Ge -0.308 3.849 6.945
Nd 5.038 6.064 6.492
Pu 0.073 5.595 1.455
Ge 5.399 3.632 0.957
Nd 0.052 1.418 1.410
Ge 2.556 6.926 0.247
Ge 3.478 3.852 4.908
Pu 1.232 1.883 5.406
Nd 3.839 1.421 2.541
Ge 6.321 0.558 4.198
Ge 1.613 3.629 2.994
Pu 2.545 3.741 0.000
Pu 3.859 5.598 2.496
Ge 2.535 0.555 7.655
Ge -1.230 6.923 3.704
Pu 5.018 1.886 6.447
```



# EuAgSbPd

Crystalline EuAgSbPd at its relaxed geometry (PBE, the Alexandria database).

Computed properties:
Space group: No. 216
Total magnetization: 6.96 μB/f.u.
DOS(E_F): 12.31 states/eV/cell
Formation energy without anion corrections: -0.51 eV/atom

Cell and atoms, written as extended XYZ:
```
4
Lattice="-1.243 -4.812 -0.427 0.742 -3.117 3.824 -3.896 -1.805 2.539" Properties=species:S:1:pos:R:3 pbc="T T T"
Pd -1.099 -2.434 1.484
Eu -2.199 -4.867 2.968
Ag -3.298 -7.301 4.452
Sb 0.000 0.000 0.000
```



# Tm12TlFe6

Crystalline Tm12TlFe6 at its relaxed geometry (PBE, the Alexandria database).

Computed properties:
Space group: No. 204
Total magnetization: 6.51 μB/f.u.
ΔE_f: -182 kJ/mol of formula units
DOS(E_F): 18.10 states/eV/cell

Cell and atoms, written as extended XYZ:
```
19
Lattice="-5.998 -1.630 -5.465 -1.280 -4.397 6.894 -0.052 8.072 1.827" Properties=species:S:1:pos:R:3 pbc="T T T"
Tm -5.755 -0.304 1.366
Fe -5.855 0.877 -1.263
Fe -3.173 3.629 -0.851
Tm -5.217 -1.789 -2.158
Tm -3.219 0.746 -0.806
Tm -2.427 -1.080 2.123
Fe -1.474 1.168 4.519
Fe -3.019 4.343 2.945
Fe -4.310 -2.298 0.311
Tm -1.574 2.349 1.890
Fe -4.157 -1.584 4.107
Tm -1.961 5.561 0.555
Tm -4.110 1.299 4.062
Tm -4.902 3.125 1.132
Tm -5.368 -3.516 2.701
Tm -5.664 3.349 -2.276
Tm -1.665 -1.304 5.532
Tm -2.112 3.834 5.414
Tl 0.000 0.000 0.000
```



# Pm3DyY2Ho6

Crystalline Pm3DyY2Ho6 at its relaxed geometry (PBE, the Alexandria database).

Computed properties:
Space group: No. 12
Total magnetization: 0.00 μB/f.u.
ΔE_f: 22 kJ/mol of formula units
DOS(E_F): 16.17 states/eV/cell

Cell and atoms, written as extended XYZ:
```
12
Lattice="-2.608 -4.447 -3.405 1.552 -1.121 5.875 -10.166 5.372 2.632" Properties=species:S:1:pos:R:3 pbc="T T T"
Y -1.221 -3.339 -0.313
Ho -7.746 0.413 5.376
Ho -7.909 2.650 2.596
Pm -5.611 -0.098 2.550
Ho -9.129 -0.694 2.289
Ho -3.476 -0.609 -0.275
Pm -6.998 -1.207 -0.543
Dy 0.000 0.000 0.000
Y 0.166 -2.230 2.782
Pm -4.224 1.011 5.644
Ho -2.093 0.498 2.811
Ho -3.313 -2.846 2.505
```



# LiHf3Te

Crystalline LiHf3Te at its relaxed geometry (PBE, the Alexandria database).

Computed properties:
Space group: No. 221
Total magnetization: 0.00 μB/f.u.
DOS(E_F): 4.53 states/eV/cell
Energy above the lowest structure with this stoichiometry: 0 meV per atom
Formation energy without anion corrections: 0.53 eV/atom

Cell and atoms, written as extended XYZ:
```
5
Lattice="4.721 0.000 0.000 0.000 4.721 0.000 0.000 0.000 4.721" Properties=species:S:1:pos:R:3 pbc="T T T"
Hf 2.360 0.000 0.000
Hf 0.000 0.000 2.360
Li 0.000 0.000 0.000
Hf 0.000 2.360 0.000
Te 2.360 2.360 2.360
```